The following is a PBE-GGA calculation of a relaxed CsCrH2N crystal, from Alexandria via LeMat-Bulk.

a = 4.375 Å, b = 4.375 Å, c = 3.707 Å
α = 90.00°, β = 90.00°, γ = 90.00°
Positions (direct):
1 Cs 0.000 0.000 0.000
2 Cr 0.500 0.500 0.500
3 H 0.000 0.500 0.500
4 H 0.500 0.000 0.500
5 N 0.500 0.500 0.000

Computed properties:
The calculation puts the size of the total moment at 2.0 μB per formula unit. As for the symmetry: No. 123. The total energy comes out at -4.955 eV/atom.


The following is a PBE-GGA calculation of a relaxed Cs2NaCrH6 crystal, from Alexandria via LeMat-Bulk.

a = 6.316 Å, b = 6.316 Å, c = 5.621 Å
α = 90.00°, β = 90.00°, γ = 120.00°
Positions (direct):
1 Cs 0.333 0.667 0.291
2 Cs 0.667 0.333 0.709
3 Na 0.000 0.000 0.000
4 Cr 0.000 0.000 0.500
5 H 0.130 0.261 0.683
6 H 0.130 0.870 0.683
7 H 0.261 0.130 0.317
8 H 0.739 0.870 0.683
9 H 0.870 0.130 0.317
10 H 0.870 0.739 0.317

Computed properties:
The calculation puts the size of the total moment at 3.0 μB per formula unit. As for the symmetry: No. 164. The total energy comes out at -3.455 eV/atom.